A PBEsol-optimized structure of Tl2InPb. Source: Alexandria, functional meta-GGA SCAN.

Cell: 3.345 3.345 10.710 Å, 90.00 90.00 111.22°
Positions (direct):
1 Tl 0.000 0.000 0.000
2 Tl 0.500 0.500 0.253
3 In 0.500 0.500 0.757
4 Pb 0.000 0.000 0.511

Calculated values
* energy above the most stable polymorph in this dataset: 16 meV per atom
* energy of formation from the pure elements: 0.03 eV per atom
* ρ: 10863 kg/m³
* electronic total energy: -63.439 eV per atom

---

A PBEsol-optimized structure of TlInPb2. Source: Alexandria, functional meta-GGA SCAN.

Cell: 6.454 6.454 6.454 Å, 146.83 129.03 62.18°
Positions (direct):
1 Tl 0.000 0.000 0.000
2 In 0.500 0.500 0.000
3 Pb 0.259 0.759 0.500
4 Pb 0.741 0.241 0.500

Calculated values
* energy above the most stable polymorph in this dataset: 30 meV per atom
* energy of formation from the pure elements: 0.05 eV per atom
* ρ: 10769 kg/m³
* electronic total energy: -64.281 eV per atom

---

A PBEsol-optimized structure of Tl2InPb. Source: Alexandria, functional meta-GGA SCAN.

Cell: 3.479 3.479 9.206 Å, 90.00 90.00 90.00°
Positions (direct):
1 Tl 0.000 0.000 0.000
2 Tl 0.500 0.500 0.258
3 In 0.000 0.000 0.498
4 Pb 0.500 0.500 0.742

Calculated values
* energy above the most stable polymorph in this dataset: 0 meV per atom
* energy of formation from the pure elements: 0.02 eV per atom
* ρ: 10893 kg/m³
* electronic total energy: -63.455 eV per atom

---

A PBEsol-optimized structure of Tl2InPb. Source: Alexandria, functional meta-GGA SCAN.

Cell: 5.837 5.837 5.837 Å, 131.01 131.01 71.80°
Positions (direct):
1 Tl 0.250 0.750 0.500
2 Tl 0.750 0.250 0.500
3 In 0.000 0.000 0.000
4 Pb 0.500 0.500 0.000

Calculated values
* energy above the most stable polymorph in this dataset: 22 meV per atom
* energy of formation from the pure elements: 0.04 eV per atom
* ρ: 10954 kg/m³
* electronic total energy: -63.433 eV per atom

---

A PBEsol-optimized structure of TlInPb2. Source: Alexandria, functional meta-GGA SCAN.

Cell: 3.520 4.671 6.873 Å, 90.00 90.00 90.00°
Positions (direct):
1 Tl 0.000 0.000 0.000
2 In 0.500 0.500 0.241
3 Pb 0.000 0.000 0.487
4 Pb 0.500 0.500 0.744

Calculated values
* energy above the most stable polymorph in this dataset: 14 meV per atom
* energy of formation from the pure elements: 0.03 eV per atom
* ρ: 10779 kg/m³
* electronic total energy: -64.297 eV per atom

---

A PBEsol-optimized structure of Tl2InPb. Source: Alexandria, functional meta-GGA SCAN.

Cell: 3.365 5.562 6.006 Å, 90.00 94.23 90.00°
Positions (direct):
1 Tl 0.000 0.000 0.000
2 Tl 0.103 0.500 0.688
3 In 0.584 0.500 0.193
4 Pb 0.538 0.000 0.491

Calculated values
* energy above the most stable polymorph in this dataset: 20 meV per atom
* energy of formation from the pure elements: 0.04 eV per atom
* ρ: 10826 kg/m³
* electronic total energy: -63.435 eV per atom